Entry from the Alexandria database: a geometry-optimized SrLiY2C structure (GGA-PBE).

Output
ΔE_f: 1037 meV/atom
symmetry: No. 123

Lattice parameters (Å, degrees): 5.578 5.578 3.921 90.00 90.00 90.00
Fractional positions:
1 Sr 0.000 0.000 0.000
2 Li 0.500 0.500 0.500
3 Y 0.000 0.500 0.500
4 Y 0.500 0.000 0.500
5 C 0.500 0.500 0.000

Entry from the Alexandria database: a geometry-optimized SrZnNi2 structure (GGA-PBE).

Output
ΔE_f: 208 meV/atom
symmetry: No. 44

Lattice parameters (Å, degrees): 5.513 5.513 5.513 146.98 129.17 61.96
Fractional positions:
1 Sr 0.000 0.000 0.000
2 Zn 0.293 0.793 0.500
3 Ni 0.508 0.508 0.000
4 Ni 0.714 0.214 0.500

Entry from the Alexandria database: a geometry-optimized Ag3Au5Cl12 structure (GGA-PBE).

Output
symmetry: No. 230
formation energy from raw total energies: -0.16 eV/atom

Lattice parameters (Å, degrees): 14.236 14.236 14.236 109.47 109.47 109.47
Fractional positions:
1 Ag 0.125 0.250 0.375
2 Ag 0.125 0.375 0.750
3 Ag 0.250 0.375 0.125
4 Ag 0.250 0.875 0.625
5 Ag 0.375 0.125 0.250
6 Ag 0.375 0.750 0.125
7 Ag 0.625 0.250 0.875
8 Ag 0.625 0.875 0.750
9 Ag 0.750 0.125 0.375
10 Ag 0.750 0.625 0.875
11 Ag 0.875 0.625 0.250
12 Ag 0.875 0.750 0.625
13 Au 0.000 0.000 0.000
14 Au 0.000 0.000 0.500
15 Au 0.000 0.500 0.000
16 Au 0.000 0.500 0.500
17 Au 0.125 0.750 0.875
18 Au 0.125 0.875 0.250
19 Au 0.250 0.125 0.875
20 Au 0.250 0.625 0.375
21 Au 0.375 0.250 0.625
22 Au 0.375 0.625 0.750
23 Au 0.500 0.000 0.000
24 Au 0.500 0.000 0.500
25 Au 0.500 0.500 0.000
26 Au 0.500 0.500 0.500
27 Au 0.625 0.375 0.250
28 Au 0.625 0.750 0.375
29 Au 0.750 0.375 0.625
30 Au 0.750 0.875 0.125
31 Au 0.875 0.125 0.750
32 Au 0.875 0.250 0.125
33 Cl 0.009 0.170 0.148
34 Cl 0.009 0.340 0.861
35 Cl 0.021 0.670 0.660
36 Cl 0.021 0.852 0.361
37 Cl 0.139 0.648 0.479
38 Cl 0.139 0.991 0.660
39 Cl 0.148 0.009 0.170
40 Cl 0.148 0.639 0.979
41 Cl 0.160 0.170 0.521
42 Cl 0.160 0.491 0.639
43 Cl 0.170 0.148 0.009
44 Cl 0.170 0.521 0.160
45 Cl 0.330 0.340 0.979
46 Cl 0.330 0.491 0.352
47 Cl 0.340 0.861 0.009
48 Cl 0.340 0.979 0.330
49 Cl 0.352 0.330 0.491
50 Cl 0.352 0.521 0.861
51 Cl 0.361 0.021 0.852
52 Cl 0.361 0.840 0.509
53 Cl 0.479 0.139 0.648
54 Cl 0.479 0.840 0.830
55 Cl 0.491 0.352 0.330
56 Cl 0.491 0.639 0.160
57 Cl 0.509 0.361 0.840
58 Cl 0.509 0.648 0.670
59 Cl 0.521 0.160 0.170
60 Cl 0.521 0.861 0.352
61 Cl 0.639 0.160 0.491
62 Cl 0.639 0.979 0.148
63 Cl 0.648 0.479 0.139
64 Cl 0.648 0.670 0.509
65 Cl 0.660 0.021 0.670
66 Cl 0.660 0.139 0.991
67 Cl 0.670 0.509 0.648
68 Cl 0.670 0.660 0.021
69 Cl 0.830 0.479 0.840
70 Cl 0.830 0.852 0.991
71 Cl 0.840 0.509 0.361
72 Cl 0.840 0.830 0.479
73 Cl 0.852 0.361 0.021
74 Cl 0.852 0.991 0.830
75 Cl 0.861 0.009 0.340
76 Cl 0.861 0.352 0.521
77 Cl 0.979 0.148 0.639
78 Cl 0.979 0.330 0.340
79 Cl 0.991 0.660 0.139
80 Cl 0.991 0.830 0.852

| no. | D(E_F) (states/eV per atom) |
| --- | --- |
| 1 | 1.19 |
| 2 | 0.77 |
| 3 | 0.51 |